Below is ThCuGeN after structural relaxation, with properties calculated at the GGA-PBE level.

Unit cell a=4.195 b=4.195 c=8.054 alpha=90.00 beta=90.00 gamma=90.00
Fractional positions:
Th (0.250, 0.250, 0.138)
Th (0.750, 0.750, 0.862)
Cu (0.250, 0.750, 0.500)
Cu (0.750, 0.250, 0.500)
Ge (0.250, 0.250, 0.651)
Ge (0.750, 0.750, 0.349)
N (0.250, 0.750, 0.000)
N (0.750, 0.250, 0.000)

E_form (uncorrected): -86.6 kJ/mol of atoms
V: 17.72 Å³ per atom
space group: P4/nmm, No. 129